(1)
Below is a relaxed structure of Y3BrN, with properties calculated at the PBE level.

a b c (Å): 4.876 4.876 4.876
angles (deg): 90.00 90.00 90.00
Space group Pm-3m (No. 221)
One atom of each set of equivalent atoms:
1 Y 0.000 0.000 0.500 (multiplicity 3)
2 Br 0.500 0.500 0.500 (multiplicity 1)
3 N 0.000 0.000 0.000 (multiplicity 1)

Calculated values
uncorrected energy: -6.452 eV per atom
V: 23.181 Å³ per atom
uncorrected formation energy: -0.5735 eV per atom
polymorph energy (0 for the lowest one): 0.0 kJ per mole of atoms

(2)
Below is a relaxed structure of Ac3Pr2In3, with properties calculated at the PBE level.

a b c (Å): 4.581 5.433 22.372
angles (deg): 90.00 90.00 90.00
Space group Immm (No. 71)
One atom of each set of equivalent atoms:
1 Ac 0.000 0.000 0.000 (multiplicity 2)
2 Ac 0.000 0.500 0.122 (multiplicity 4)
3 Pr 0.000 0.000 0.235 (multiplicity 4)
4 In 0.000 0.000 0.500 (multiplicity 2)
5 In 0.000 0.500 0.370 (multiplicity 4)

Calculated values
uncorrected energy: -4.076 eV per atom
ΔE_f: -0.31 eV per atom
V: 34.795 Å³ per atom

(3)
Below is a relaxed structure of Ho12AlFe6, with properties calculated at the PBE level.

a b c (Å): 9.613 9.613 9.613
angles (deg): 90.00 90.00 90.00
Space group Im-3 (No. 204)
One atom of each set of equivalent atoms:
1 Ho 0.000 0.296 0.194 (multiplicity 24)
2 Al 0.000 0.000 0.000 (multiplicity 2)
3 Fe 0.000 0.111 0.500 (multiplicity 12)

Calculated values
uncorrected energy: -5.829 eV per atom
ΔE_f: -0.07 eV per atom
V: 23.375 Å³ per atom

(4)
Below is a relaxed structure of LaMgAlAg, with properties calculated at the PBE level.

a b c (Å): 7.214 7.214 7.214
angles (deg): 90.00 90.00 90.00
Space group F-43m (No. 216)
One atom of each set of equivalent atoms:
1 La 0.000 0.000 0.000 (multiplicity 4)
2 Mg 0.000 0.000 0.500 (multiplicity 4)
3 Al 0.250 0.250 0.250 (multiplicity 4)
4 Ag 0.250 0.250 0.750 (multiplicity 4)

Calculated values
uncorrected energy: -3.569 eV per atom
ΔE_f: -0.29 eV per atom
V: 23.464 Å³ per atom

(5)
Below is a relaxed structure of Ac3Ga3Pt8, with properties calculated at the PBE level.

a b c (Å): 16.550 4.394 9.291
angles (deg): 90.00 120.21 90.00
Space group C2/m (No. 12)
One atom of each set of equivalent atoms:
1 Ac 0.000 0.000 0.000 (multiplicity 2)
2 Ac 0.204 0.500 0.657 (multiplicity 4)
3 Ga 0.000 0.000 0.500 (multiplicity 2)
4 Ga 0.180 0.500 0.004 (multiplicity 4)
5 Pt 0.010 0.500 0.684 (multiplicity 4)
6 Pt 0.106 0.000 0.377 (multiplicity 4)
7 Pt 0.132 0.000 0.834 (multiplicity 4)
8 Pt 0.142 0.500 0.237 (multiplicity 4)

Calculated values
uncorrected energy: -5.954 eV per atom
ΔE_f: -0.97 eV per atom
V: 20.852 Å³ per atom

(6)
Below is a relaxed structure of Er4Tm3Hg4, with properties calculated at the PBE level.

a b c (Å): 5.154 7.022 16.692
angles (deg): 90.00 90.00 90.00
Space group Immm (No. 71)
One atom of each set of equivalent atoms:
1 Er 0.000 0.237 0.179 (multiplicity 8)
2 Tm 0.000 0.000 0.400 (multiplicity 4)
3 Tm 0.000 0.500 0.500 (multiplicity 2)
4 Hg 0.000 0.288 0.000 (multiplicity 4)
5 Hg 0.000 0.500 0.320 (multiplicity 4)

Calculated values
uncorrected energy: -3.220 eV per atom
ΔE_f: -0.23 eV per atom
V: 27.458 Å³ per atom

(7)
Below is a relaxed structure of CaTbSm6, with properties calculated at the PBE level.

a b c (Å): 5.150 5.150 10.303
angles (deg): 90.00 90.00 90.00
Space group P4/mmm (No. 123)
One atom of each set of equivalent atoms:
1 Ca 0.000 0.000 0.000 (multiplicity 1)
2 Tb 0.000 0.000 0.500 (multiplicity 1)
3 Sm 0.000 0.500 0.257 (multiplicity 4)
4 Sm 0.500 0.500 0.000 (multiplicity 1)
5 Sm 0.500 0.500 0.500 (multiplicity 1)

Calculated values
uncorrected energy: -4.318 eV per atom
ΔE_f: 0.05 eV per atom
V: 34.163 Å³ per atom

(8)
Below is a relaxed structure of SrSbSe, with properties calculated at the PBE level.

a b c (Å): 4.1062 4.1062 6.6903
angles (deg): 90.00 90.00 120.00
Space group P3m1 (No. 156)
One atom of each set of equivalent atoms:
1 Sr 0.0000 0.0000 0.0000 (multiplicity 1)
2 Sb 0.6667 0.3333 0.4031 (multiplicity 1)
3 Se 0.3333 0.6667 0.7192 (multiplicity 1)

Calculated values
uncorrected energy: -3.550 eV per atom
V: 32.564 Å³ per atom
uncorrected formation energy: -0.4533 eV per atom

(9)
Below is a relaxed structure of Rb2InAgF6, with properties calculated at the PBE level.

a b c (Å): 9.089 9.089 9.089
angles (deg): 90.00 90.00 90.00
Space group Fm-3m (No. 225)
One atom of each set of equivalent atoms:
1 Rb 0.250 0.250 0.250 (multiplicity 8)
2 In 0.000 0.000 0.000 (multiplicity 4)
3 Ag 0.000 0.000 0.500 (multiplicity 4)
4 F 0.000 0.000 0.232 (multiplicity 24)

Calculated values
uncorrected energy: -4.248 eV per atom
V: 18.769 Å³ per atom
uncorrected formation energy: -2.3727 eV per atom

(10)
Below is a relaxed structure of Pr2AlAg5, with properties calculated at the PBE level.

a b c (Å): 6.496 6.496 8.939
angles (deg): 90.00 90.00 90.00
Space group I4mm (No. 107)
One atom of each set of equivalent atoms:
1 Pr 0.000 0.500 0.000 (multiplicity 4)
2 Al 0.000 0.000 0.164 (multiplicity 2)
3 Ag 0.000 0.000 0.480 (multiplicity 2)
4 Ag 0.221 0.221 0.747 (multiplicity 8)

Calculated values
uncorrected energy: -3.529 eV per atom
ΔE_f: -0.08 eV per atom
V: 23.579 Å³ per atom

(11)
Below is a relaxed structure of Nd12Ga6C, with properties calculated at the PBE level.

a b c (Å): 12.0191 12.0191 13.1973
angles (deg): 90.00 90.00 120.00
Space group R-3 (No. 148, hexagonal axes)
One atom of each set of equivalent atoms:
1 Nd 0.0367 0.8391 0.3872 (multiplicity 18)
2 Nd 0.0404 0.1870 0.8869 (multiplicity 18)
3 Ga 0.0073 0.6031 0.2574 (multiplicity 18)
4 C 0.0000 0.0000 0.0000 (multiplicity 3)

Calculated values
uncorrected energy: -4.778 eV per atom
ΔE_f: -0.33 eV per atom
V: 28.966 Å³ per atom

(12)
Below is a relaxed structure of Y3HoTl4Te8, with properties calculated at the PBE level.

a b c (Å): 8.9011 8.9011 24.5444
angles (deg): 90.00 90.00 120.00
Space group R-3m (No. 166, hexagonal axes)
One atom of each set of equivalent atoms:
1 Y 0.0000 0.5000 0.0000 (multiplicity 9)
2 Ho 0.0000 0.0000 0.0000 (multiplicity 3)
3 Tl 0.0000 0.0000 0.5000 (multiplicity 3)
4 Tl 0.0000 0.5000 0.5000 (multiplicity 9)
5 Te 0.0000 0.0000 0.2620 (multiplicity 6)
6 Te 0.0013 0.5006 0.7377 (multiplicity 18)

Calculated values
uncorrected energy: -4.724 eV per atom
V: 35.086 Å³ per atom
uncorrected formation energy: -1.0633 eV per atom

(13)
Below is a relaxed structure of TaCrCo6, with properties calculated at the PBE level.

a b c (Å): 7.160 10.134 10.135
angles (deg): 90.00 90.00 90.00
Space group Cmmm (No. 65)
One atom of each set of equivalent atoms:
1 Ta 0.000 0.000 0.250 (multiplicity 4)
2 Ta 0.000 0.246 0.000 (multiplicity 4)
3 Cr 0.000 0.246 0.500 (multiplicity 4)
4 Cr 0.000 0.500 0.250 (multiplicity 4)
5 Co 0.000 0.000 0.000 (multiplicity 2)
6 Co 0.000 0.000 0.500 (multiplicity 2)
7 Co 0.000 0.255 0.259 (multiplicity 8)
8 Co 0.000 0.500 0.000 (multiplicity 2)
9 Co 0.000 0.500 0.500 (multiplicity 2)
10 Co 0.242 0.377 0.130 (multiplicity 16)
11 Co 0.244 0.372 0.380 (multiplicity 16)

Calculated values
uncorrected energy: -8.101 eV per atom
ΔE_f: -0.09 eV per atom
V: 11.491 Å³ per atom

(14)
Below is a relaxed structure of Zn2CuNi5Ge2, with properties calculated at the PBE level.

a b c (Å): 8.542 8.542 3.555
angles (deg): 90.00 90.00 90.00
Space group P4/mbm (No. 127)
One atom of each set of equivalent atoms:
1 Zn 0.168 0.332 0.000 (multiplicity 4)
2 Cu 0.000 0.000 0.000 (multiplicity 2)
3 Ni 0.000 0.500 0.500 (multiplicity 2)
4 Ni 0.075 0.805 0.500 (multiplicity 8)
5 Ge 0.132 0.632 0.000 (multiplicity 4)

Calculated values
uncorrected energy: -4.519 eV per atom
ΔE_f: -0.04 eV per atom
V: 12.970 Å³ per atom

(15)
Below is a relaxed structure of NdYCu, with properties calculated at the PBE level.

a b c (Å): 12.781 3.790 8.281
angles (deg): 90.00 127.14 90.00
Space group C2/m (No. 12)
One atom of each set of equivalent atoms:
1 Nd 0.097 0.000 0.384 (multiplicity 4)
2 Y 0.160 0.500 0.064 (multiplicity 4)
3 Cu 0.123 0.500 0.678 (multiplicity 4)

Calculated values
uncorrected energy: -5.231 eV per atom
ΔE_f: -0.12 eV per atom
V: 26.647 Å³ per atom
polymorph energy (0 for the lowest one): 0.0 kJ per mole of atoms

(16)
Below is a relaxed structure of Ac4TlPt2, with properties calculated at the PBE level.

a b c (Å): 13.960 4.381 16.446
angles (deg): 90.00 90.00 90.00
Space group Pnma (No. 62)
One atom of each set of equivalent atoms:
1 Ac 0.028 0.250 0.214 (multiplicity 4)
2 Ac 0.084 0.750 0.426 (multiplicity 4)
3 Ac 0.124 0.250 0.971 (multiplicity 4)
4 Ac 0.207 0.250 0.653 (multiplicity 4)
5 Tl 0.240 0.750 0.824 (multiplicity 4)
6 Pt 0.061 0.750 0.610 (multiplicity 4)
7 Pt 0.081 0.750 0.095 (multiplicity 4)

Calculated values
uncorrected energy: -5.209 eV per atom
ΔE_f: -0.80 eV per atom
V: 35.922 Å³ per atom
polymorph energy (0 for the lowest one): 0.0 kJ per mole of atoms

(17)
Below is a relaxed structure of AsRh, with properties calculated at the PBE level.

a b c (Å): 5.220 7.203 7.734
angles (deg): 90.00 90.00 90.00
Space group P2_12_12_1 (No. 19)
One atom of each set of equivalent atoms:
1 As 0.010 0.105 0.361 (multiplicity 4)
2 As 0.022 0.163 0.873 (multiplicity 4)
3 Rh 0.066 0.328 0.594 (multiplicity 4)
4 Rh 0.218 0.945 0.607 (multiplicity 4)

Calculated values
uncorrected energy: -6.363 eV per atom
ΔE_f: -0.36 eV per atom
V: 18.176 Å³ per atom

(18)
Below is a relaxed structure of LiP2IO, with properties calculated at the PBE level.

a b c (Å): 4.854 4.854 3.510
angles (deg): 90.00 90.00 90.00
Space group P4/mmm (No. 123)
One atom of each set of equivalent atoms:
1 Li 0.000 0.000 0.000 (multiplicity 1)
2 P 0.000 0.500 0.000 (multiplicity 2)
3 I 0.500 0.500 0.500 (multiplicity 1)
4 O 0.000 0.000 0.500 (multiplicity 1)

Calculated values
uncorrected energy: -3.254 eV per atom
V: 16.542 Å³ per atom
uncorrected formation energy: 0.5940 eV per atom
polymorph energy (0 for the lowest one): 0.0 kJ per mole of atoms